(1)
BeCoSnHg2 PBE optimized geometry; total magnetization = 1.6 μB per formula unit; crystal system = tetragonal; DFT total energy = -1.873 eV/atom
1.0
5.638 0.000 0.000
0.000 5.638 0.000
0.000 0.000 4.928
Be Co Sn Hg
1 1 1 2
Direct
0.000 0.000 0.000
0.500 0.500 0.000
0.500 0.500 0.500
0.000 0.500 0.500
0.500 0.000 0.500

=====

(2)
BeV2CoHg PBE optimized geometry; total magnetization = 0.0 μB per formula unit; crystal system = tetragonal; DFT total energy = -4.799 eV/atom
1.0
4.245 0.000 0.000
0.000 4.245 0.000
0.000 0.000 4.796
Be V Co Hg
1 2 1 1
Direct
0.000 0.000 0.000
0.000 0.500 0.500
0.500 0.000 0.500
0.500 0.500 0.500
0.500 0.500 0.000

=====

(3)
Ho2BeCo PBE optimized geometry; energy above the lowest structure with this stoichiometry = 803 meV per atom; total magnetization = 0.0 μB per formula unit; crystal system = trigonal; DFT total energy = -4.361 eV/atom
1.0
1.832 1.058 8.996
-1.832 1.058 8.996
0.000 -2.115 8.996
Ho Be Co
2 1 1
Direct
0.110 0.110 0.110
0.890 0.890 0.890
0.000 0.000 0.000
0.500 0.500 0.500

=====

(4)
Ho2Be12Co5 PBE optimized geometry; total magnetization = 3.4 μB per formula unit; crystal system = trigonal; DFT total energy = -4.924 eV/atom
1.0
3.954 2.283 3.806
-3.954 2.283 3.806
0.000 -4.565 3.806
Ho Be Co
2 12 5
Direct
0.161 0.161 0.161
0.839 0.839 0.839
0.165 0.165 0.648
0.165 0.648 0.165
0.223 0.500 0.777
0.223 0.777 0.500
0.352 0.835 0.835
0.500 0.223 0.777
0.500 0.777 0.223
0.648 0.165 0.165
0.777 0.223 0.500
0.777 0.500 0.223
0.835 0.352 0.835
0.835 0.835 0.352
0.000 0.500 0.500
0.402 0.402 0.402
0.500 0.000 0.500
0.500 0.500 0.000
0.598 0.598 0.598